# Sn5As4P, optimized geometry, DFT PBE
data_Sn5As4P
_cell_length_a 4.070
_cell_length_b 4.070
_cell_length_c 28.879
_cell_angle_alpha 90.00
_cell_angle_beta 90.00
_cell_angle_gamma 90.00
_symmetry_space_group_name_H-M 'I 4/m m m'
_symmetry_Int_Tables_number 139
_symmetry_space_group_name_Hall '-I 4 2'
loop_
_atom_site_label
_atom_site_type_symbol
_atom_site_fract_x
_atom_site_fract_y
_atom_site_fract_z
Sn1 Sn 0.000 0.000 0.000
Sn2 Sn 0.000 0.000 0.201
Sn3 Sn 0.000 0.000 0.403
As1 As 0.000 0.000 0.099
As2 As 0.000 0.000 0.301
P1 P 0.000 0.000 0.500
# D(E_F): 3.97 states/eV/f.u.
# Final energy: -4.4360 eV per atom
# Magnetization: 0.00 μB/f.u.

# Dy5Hg2PdRh2, optimized geometry, DFT PBE
data_Dy5Hg2PdRh2
_cell_length_a 11.527
_cell_length_b 11.527
_cell_length_c 3.615
_cell_angle_alpha 90.00
_cell_angle_beta 90.00
_cell_angle_gamma 90.00
_symmetry_space_group_name_H-M 'P 4/m b m'
_symmetry_Int_Tables_number 127
_symmetry_space_group_name_Hall '-P 4 2ab'
loop_
_atom_site_label
_atom_site_type_symbol
_atom_site_fract_x
_atom_site_fract_y
_atom_site_fract_z
Dy1 Dy 0.000 0.500 0.000
Dy2 Dy 0.083 0.195 0.000
Hg1 Hg 0.171 0.671 0.500
Pd1 Pd 0.000 0.000 0.500
Rh1 Rh 0.133 0.367 0.500
# D(E_F): 8.46 states/eV/f.u.
# Final energy: -4.9822 eV per atom
# Magnetization: 0.00 μB/f.u.

# ZrVH, optimized geometry, DFT PBE
data_ZrVH
_cell_length_a 3.336
_cell_length_b 4.830
_cell_length_c 5.623
_cell_angle_alpha 64.62
_cell_angle_beta 74.44
_cell_angle_gamma 89.85
_symmetry_space_group_name_H-M 'P -1'
_symmetry_Int_Tables_number 2
_symmetry_space_group_name_Hall '-P 1'
loop_
_atom_site_label
_atom_site_type_symbol
_atom_site_fract_x
_atom_site_fract_y
_atom_site_fract_z
Zr1 Zr 0.138 0.357 0.285
V1 V 0.357 0.106 0.793
H1 H 0.006 0.751 0.999
# D(E_F): 2.65 states/eV/f.u.
# Magnetization: 0.00 μB/f.u.
# ΔE to the lowest computed polymorph: 0 kJ/mol of formula units

# Sm3TeH, optimized geometry, DFT PBE
data_Sm3TeH
_cell_length_a 4.877
_cell_length_b 4.877
_cell_length_c 4.877
_cell_angle_alpha 90.00
_cell_angle_beta 90.00
_cell_angle_gamma 90.00
_symmetry_space_group_name_H-M 'P m -3 m'
_symmetry_Int_Tables_number 221
_symmetry_space_group_name_Hall '-P 4 2 3'
loop_
_atom_site_label
_atom_site_type_symbol
_atom_site_fract_x
_atom_site_fract_y
_atom_site_fract_z
Sm1 Sm 0.000 0.000 0.500
Te1 Te 0.500 0.500 0.500
H1 H 0.000 0.000 0.000
# D(E_F): 3.69 states/eV/f.u.
# Magnetization: 0.00 μB/f.u.
# ΔE to the lowest computed polymorph: 37 kJ/mol of formula units

# Ce2Ga2Ge4Os, optimized geometry, DFT PBE
data_Ce2Ga2Ge4Os
_cell_length_a 6.341
_cell_length_b 6.341
_cell_length_c 8.698
_cell_angle_alpha 90.00
_cell_angle_beta 90.00
_cell_angle_gamma 90.00
_symmetry_space_group_name_H-M 'I 4/m m m'
_symmetry_Int_Tables_number 139
_symmetry_space_group_name_Hall '-I 4 2'
loop_
_atom_site_label
_atom_site_type_symbol
_atom_site_fract_x
_atom_site_fract_y
_atom_site_fract_z
Ce1 Ce 0.000 0.500 0.250
Ga1 Ga 0.000 0.000 0.212
Ge1 Ge 0.222 0.222 0.000
Os1 Os 0.000 0.000 0.500
# D(E_F): 9.87 states/eV/f.u.
# Final energy: -5.7466 eV per atom
# Magnetization: 0.03 μB/f.u.

# RhSN2Cl, optimized geometry, DFT PBE
data_RhSN2Cl
_cell_length_a 3.760
_cell_length_b 3.760
_cell_length_c 5.459
_cell_angle_alpha 90.00
_cell_angle_beta 90.00
_cell_angle_gamma 90.00
_symmetry_space_group_name_H-M 'P 4/m m m'
_symmetry_Int_Tables_number 123
_symmetry_space_group_name_Hall '-P 4 2'
loop_
_atom_site_label
_atom_site_type_symbol
_atom_site_fract_x
_atom_site_fract_y
_atom_site_fract_z
Rh1 Rh 0.000 0.000 0.000
S1 S 0.000 0.000 0.500
N1 N 0.000 0.500 0.000
Cl1 Cl 0.500 0.500 0.500
# D(E_F): 2.70 states/eV/f.u.
# Magnetization: 0.48 μB/f.u.
# Raw formation energy: 1.199 eV per atom
# ΔE to the lowest computed polymorph: 0 kJ/mol of formula units

# TiCrSiRu, optimized geometry, DFT PBE
data_TiCrSiRu
_cell_length_a 5.975
_cell_length_b 5.975
_cell_length_c 5.975
_cell_angle_alpha 90.00
_cell_angle_beta 90.00
_cell_angle_gamma 90.00
_symmetry_space_group_name_H-M 'F -4 3 m'
_symmetry_Int_Tables_number 216
_symmetry_space_group_name_Hall 'F -4 2 3'
loop_
_atom_site_label
_atom_site_type_symbol
_atom_site_fract_x
_atom_site_fract_y
_atom_site_fract_z
Ti1 Ti 0.000 0.000 0.000
Cr1 Cr 0.250 0.250 0.750
Si1 Si 0.000 0.000 0.500
Ru1 Ru 0.250 0.250 0.250
# D(E_F): 3.76 states/eV/f.u.
# Magnetization: 1.97 μB/f.u.
# Raw formation energy: -0.537 eV per atom

# K2BaCr, optimized geometry, DFT PBE
data_K2BaCr
_cell_length_a 5.402
_cell_length_b 5.402
_cell_length_c 6.774
_cell_angle_alpha 90.00
_cell_angle_beta 90.00
_cell_angle_gamma 90.00
_symmetry_space_group_name_H-M 'P 4/m m m'
_symmetry_Int_Tables_number 123
_symmetry_space_group_name_Hall '-P 4 2'
loop_
_atom_site_label
_atom_site_type_symbol
_atom_site_fract_x
_atom_site_fract_y
_atom_site_fract_z
K1 K 0.000 0.500 0.000
Ba1 Ba 0.000 0.000 0.500
Cr1 Cr 0.500 0.500 0.500
# D(E_F): 3.05 states/eV/f.u.
# Magnetization: 5.21 μB/f.u.
# ΔE to the lowest computed polymorph: 35 kJ/mol of formula units